[1]
! NaVAgBr6 PBE optimized geometry; values from VASP
! crystal system = trigonal
! final energy = -30.5 eV per cell
! V = 29.77 Å³ per atom
! space group = P312, No. 149
! formation energy (no corrections) = -0.794 eV per atom
&SYSTEM
  ibrav = 0, nat = 9, ntyp = 4
/
ATOMIC_SPECIES
Na 22.99 Na.upf
V 50.94 V.upf
Ag 107.87 Ag.upf
Br 79.90 Br.upf
CELL_PARAMETERS angstrom
-1.042 2.323 5.811
-3.219 -5.931 1.794
6.883 0.667 0.967
ATOMIC_POSITIONS crystal
Na 0.000 0.333 0.667
V 0.500 0.000 0.000
Ag 0.500 0.667 0.333
Br 0.729 0.712 0.702
Br 0.729 0.298 0.010
Br 0.729 0.990 0.288
Br 0.271 0.298 0.288
Br 0.271 0.712 0.010
Br 0.271 0.990 0.702

[2]
! Na2YAgBr6 PBE optimized geometry; values from VASP
! crystal system = triclinic
! final energy = -36.3 eV per cell
! V = 31.13 Å³ per atom
! space group = P1, No. 1
! formation energy (no corrections) = -1.429 eV per atom
&SYSTEM
  ibrav = 0, nat = 10, ntyp = 4
/
ATOMIC_SPECIES
Na 22.99 Na.upf
Y 88.91 Y.upf
Ag 107.87 Ag.upf
Br 79.90 Br.upf
CELL_PARAMETERS angstrom
-1.162 -6.573 3.158
4.218 -5.786 -1.829
5.256 -2.551 5.242
ATOMIC_POSITIONS crystal
Na 0.523 0.522 0.432
Na 0.014 0.014 0.960
Y 0.324 0.325 0.026
Ag 0.812 0.813 0.562
Br 0.587 0.210 0.255
Br 0.211 0.949 0.254
Br 0.949 0.586 0.254
Br 0.427 0.709 0.758
Br 0.709 0.106 0.758
Br 0.106 0.427 0.757

[3]
! NaYAgBr5 PBE optimized geometry; values from VASP
! crystal system = monoclinic
! final energy = -60.2 eV per cell
! V = 34.36 Å³ per atom
! space group = C2/c, No. 15
! formation energy (no corrections) = -1.387 eV per atom
&SYSTEM
  ibrav = 0, nat = 16, ntyp = 4
/
ATOMIC_SPECIES
Na 22.99 Na.upf
Y 88.91 Y.upf
Ag 107.87 Ag.upf
Br 79.90 Br.upf
CELL_PARAMETERS angstrom
7.939 -0.751 -0.063
-3.035 7.374 -0.063
-2.070 -2.796 9.824
ATOMIC_POSITIONS crystal
Na 0.434 0.566 0.250
Na 0.566 0.434 0.750
Y 0.000 0.000 0.500
Y 0.000 0.000 0.000
Ag 0.718 0.282 0.250
Ag 0.282 0.718 0.750
Br 0.082 0.918 0.250
Br 0.918 0.082 0.750
Br 0.006 0.344 0.129
Br 0.994 0.656 0.871
Br 0.656 0.994 0.371
Br 0.344 0.006 0.629
Br 0.759 0.587 0.455
Br 0.241 0.413 0.545
Br 0.413 0.241 0.045
Br 0.587 0.759 0.955

[4]
! Na3ZnAg3Br8 PBE optimized geometry; values from VASP
! crystal system = monoclinic
! final energy = -40.6 eV per cell
! V = 27.30 Å³ per atom
! space group = C2/m, No. 12
! formation energy (no corrections) = -0.895 eV per atom
&SYSTEM
  ibrav = 0, nat = 15, ntyp = 4
/
ATOMIC_SPECIES
Na 22.99 Na.upf
Zn 65.41 Zn.upf
Ag 107.87 Ag.upf
Br 79.90 Br.upf
CELL_PARAMETERS angstrom
-7.275 -2.183 -3.256
5.688 -5.860 1.707
-3.960 3.901 6.232
ATOMIC_POSITIONS crystal
Na 0.000 0.000 0.000
Na 0.000 0.500 0.000
Na 0.500 0.500 0.000
Zn 0.000 0.000 0.500
Ag 0.500 0.000 0.500
Ag 0.500 0.500 0.500
Ag 0.000 0.500 0.500
Br 0.251 0.501 0.258
Br 0.749 0.499 0.742
Br 0.773 0.546 0.280
Br 0.227 0.454 0.720
Br 0.770 0.002 0.277
Br 0.230 0.998 0.723
Br 0.232 0.002 0.277
Br 0.768 0.998 0.723

[5]
! NaZn2AgBr6 PBE optimized geometry; values from VASP
! crystal system = monoclinic
! final energy = -51.3 eV per cell
! V = 30.05 Å³ per atom
! space group = C2/c, No. 15
! formation energy (no corrections) = -0.888 eV per atom
&SYSTEM
  ibrav = 0, nat = 20, ntyp = 4
/
ATOMIC_SPECIES
Na 22.99 Na.upf
Zn 65.41 Zn.upf
Ag 107.87 Ag.upf
Br 79.90 Br.upf
CELL_PARAMETERS angstrom
7.134 -0.251 -0.260
1.953 9.107 0.331
1.953 -0.006 9.113
ATOMIC_POSITIONS crystal
Na 0.250 0.272 0.728
Na 0.750 0.728 0.272
Zn 0.208 0.792 0.616
Zn 0.292 0.384 0.208
Zn 0.792 0.208 0.384
Zn 0.708 0.616 0.792
Ag 0.250 0.891 0.109
Ag 0.750 0.109 0.891
Br 0.132 0.968 0.804
Br 0.368 0.196 0.032
Br 0.868 0.032 0.196
Br 0.632 0.804 0.968
Br 0.370 0.882 0.387
Br 0.130 0.613 0.118
Br 0.630 0.118 0.613
Br 0.870 0.387 0.882
Br 0.915 0.704 0.570
Br 0.585 0.430 0.296
Br 0.085 0.296 0.430
Br 0.415 0.570 0.704

[6]
! NbAg3Br8 PBE optimized geometry; values from VASP
! crystal system = hexagonal
! final energy = -77.9 eV per cell
! V = 32.85 Å³ per atom
! space group = P6_3mc, No. 186
! formation energy (no corrections) = -0.577 eV per atom
&SYSTEM
  ibrav = 0, nat = 24, ntyp = 3
/
ATOMIC_SPECIES
Nb 92.91 Nb.upf
Ag 107.87 Ag.upf
Br 79.90 Br.upf
CELL_PARAMETERS angstrom
8.115 0.000 0.000
-4.057 7.028 0.000
0.000 0.000 13.824
ATOMIC_POSITIONS crystal
Nb 0.667 0.333 0.976
Nb 0.333 0.667 0.476
Ag 0.830 0.659 0.711
Ag 0.341 0.170 0.711
Ag 0.830 0.170 0.711
Ag 0.170 0.830 0.211
Ag 0.659 0.830 0.211
Ag 0.170 0.341 0.211
Br 0.817 0.633 0.079
Br 0.518 0.482 0.867
Br 0.667 0.333 0.616
Br 0.000 0.000 0.792
Br 0.000 0.000 0.292
Br 0.367 0.183 0.079
Br 0.964 0.482 0.867
Br 0.518 0.036 0.867
Br 0.183 0.817 0.579
Br 0.817 0.183 0.079
Br 0.482 0.964 0.367
Br 0.036 0.518 0.367
Br 0.333 0.667 0.116
Br 0.633 0.817 0.579
Br 0.482 0.518 0.367
Br 0.183 0.367 0.579

[7]
! NbAgBr2 PBE optimized geometry; values from VASP
! crystal system = trigonal
! final energy = -15.3 eV per cell
! V = 23.45 Å³ per atom
! relative energy among the computed polymorphs = 450 meV/atom
! space group = R-3m, No. 166
! formation energy (no corrections) = 0.249 eV per atom
&SYSTEM
  ibrav = 0, nat = 4, ntyp = 3
/
ATOMIC_SPECIES
Nb 92.91 Nb.upf
Br 79.90 Br.upf
Ag 107.87 Ag.upf
CELL_PARAMETERS angstrom
1.985 0.000 9.165
-0.992 1.719 9.165
-0.992 -1.719 9.165
ATOMIC_POSITIONS crystal
Nb 0.000 0.000 0.000
Br 0.908 0.908 0.908
Br 0.092 0.092 0.092
Ag 0.500 0.500 0.500

[8]
! Nb2AgBr8 PBE optimized geometry; values from VASP
! crystal system = monoclinic
! final energy = -43.1 eV per cell
! V = 42.51 Å³ per atom
! space group = C2/m, No. 12
! formation energy (no corrections) = -0.607 eV per atom
&SYSTEM
  ibrav = 0, nat = 11, ntyp = 3
/
ATOMIC_SPECIES
Nb 92.91 Nb.upf
Ag 107.87 Ag.upf
Br 79.90 Br.upf
CELL_PARAMETERS angstrom
-1.748 -2.541 6.139
7.890 -0.001 2.738
0.541 7.452 3.731
ATOMIC_POSITIONS crystal
Nb 0.652 0.799 0.799
Nb 0.348 0.201 0.201
Ag 0.000 0.000 0.000
Br 0.223 0.290 0.920
Br 0.777 0.080 0.710
Br 0.291 0.811 0.811
Br 0.709 0.189 0.189
Br 0.223 0.920 0.290
Br 0.777 0.710 0.080
Br 0.781 0.619 0.619
Br 0.219 0.381 0.381